A relaxed Ba2EuMg crystal, computed with GGA-PBE.

```
4
Lattice="0.0000 4.5402 4.5402 4.5402 0.0000 4.5402 4.5402 4.5402 0.0000" Properties=species:S:1:pos:R:3 pbc="T T T"
Ba 2.2701 2.2701 2.2701
Ba 6.8104 6.8104 6.8104
Eu 0.0000 0.0000 0.0000
Mg 4.5402 4.5402 4.5402
```

Computed properties:
* space-group type: Fm-3m
* volume: 46.8 A^3/atom
* magnetic moment: 8.040 μB/cell
* energy relative to the elements: 67.3 meV/atom
* density of states at the Fermi level: 6.660 states/eV/cell